1.
Compound: TaTlP2
Source: the Alexandria database
Functional: GGA-PBE
Structure: relaxed

The structure in POSCAR format:
```
TaTlP2
1.0
-1.627 1.745 7.713
1.627 -1.745 7.713
1.627 1.745 -7.713
Ta Tl P
1 1 2
direct
0.000 0.000 0.000 Ta
0.250 0.750 0.500 Tl
0.564 0.564 0.000 P
0.880 0.380 0.500 P
```

**ΔE to the lowest computed polymorph**: 87 meV per atom
**Space-group type**: Imm2
**ΔE_f**: -0.11 eV per atom

---

2.
Compound: Ti8GeSe2
Source: the Alexandria database
Functional: GGA-PBE
Structure: relaxed

The structure in POSCAR format:
```
Ti8GeSe2
1.0
3.655 -5.612 0.000
3.655 5.612 0.000
-1.402 0.000 4.535
Ti Ge Se
8 1 2
direct
0.083 0.314 0.604 Ti
0.238 0.762 0.000 Ti
0.314 0.083 0.604 Ti
0.386 0.386 0.168 Ti
0.614 0.614 0.832 Ti
0.686 0.917 0.396 Ti
0.762 0.238 0.000 Ti
0.917 0.686 0.396 Ti
0.000 0.000 0.000 Ge
0.313 0.687 0.500 Se
0.687 0.313 0.500 Se
```

**Space-group type**: C2/m
**Total energy**: -7.23 eV/atom

---

3.
Compound: Hf3FeBi
Source: the Alexandria database
Functional: GGA-PBE
Structure: relaxed

The structure in POSCAR format:
```
Hf3FeBi
1.0
8.030 -1.733 0.000
8.030 1.733 0.000
-5.052 0.000 8.077
Hf Fe Bi
6 2 2
direct
0.037 0.037 0.182 Hf
0.277 0.277 0.728 Hf
0.342 0.342 0.132 Hf
0.658 0.658 0.868 Hf
0.723 0.723 0.272 Hf
0.963 0.963 0.818 Hf
0.145 0.145 0.049 Fe
0.855 0.855 0.951 Fe
0.402 0.402 0.519 Bi
0.598 0.598 0.481 Bi
```

**ΔE to the lowest computed polymorph**: 0 meV per atom
**Space-group type**: C2/m
**ΔE_f**: -0.03 eV per atom

---

4.
Compound: RbGaAu
Source: the Alexandria database
Functional: GGA-PBE
Structure: relaxed

The structure in POSCAR format:
```
RbGaAu
1.0
4.813 0.000 0.000
0.000 4.815 0.000
0.000 0.000 7.824
Rb Ga Au
2 2 2
direct
0.250 0.250 0.149 Rb
0.750 0.750 0.851 Rb
0.250 0.750 0.500 Ga
0.750 0.250 0.500 Ga
0.250 0.250 0.648 Au
0.750 0.750 0.352 Au
```

**ΔE to the lowest computed polymorph**: 22 meV per atom
**Space-group type**: Pmmn
**ΔE_f**: -0.27 eV per atom

---

5.
Compound: La4SnGeBr2
Source: the Alexandria database
Functional: GGA-PBE
Structure: relaxed

The structure in POSCAR format:
```
La4SnGeBr2
1.0
7.593 0.000 0.000
0.000 4.537 0.000
-2.726 0.000 7.423
La Sn Ge Br
4 1 1 2
direct
0.229 0.000 0.231 La
0.237 0.500 0.759 La
0.763 0.500 0.241 La
0.771 0.000 0.769 La
0.000 0.000 0.500 Sn
0.000 0.500 0.000 Ge
0.500 0.000 0.000 Br
0.500 0.500 0.500 Br
```

**Space-group type**: P2/m
**Total energy**: -5.12 eV/atom

---

6.
Compound: ZrScIn
Source: the Alexandria database
Functional: GGA-PBE
Structure: relaxed

The structure in POSCAR format:
```
ZrScIn
1.0
4.928 0.000 0.000
-2.464 4.267 0.000
0.000 0.000 3.328
Zr Sc In
1 1 1
direct
0.000 0.000 0.000 Zr
0.333 0.667 0.562 Sc
0.667 0.333 0.309 In
```

**ΔE to the lowest computed polymorph**: 191 meV per atom
**Space-group type**: P3m1
**ΔE_f**: -0.11 eV per atom

---

7.
Compound: La2YBe
Source: the Alexandria database
Functional: GGA-PBE
Structure: relaxed

The structure in POSCAR format:
```
La2YBe
1.0
3.822 0.000 0.000
0.000 5.042 0.000
-1.730 0.000 5.987
La Y Be
2 1 1
direct
0.182 0.000 0.289 La
0.818 0.000 0.711 La
0.500 0.500 0.000 Y
0.000 0.500 0.500 Be
```

**Space-group type**: P2/m
**ΔE_f**: 0.29 eV per atom